{
  "formula": "NaAlO2F",
  "functional": "PBE",
  "state": "optimized geometry",
  "e_form_raw_mev_per_atom": -356,
  "total_magnetization_mub_per_cell": 1.267,
  "energy_ry_per_atom": -0.274,
  "space_group": "P4/mmm",
  "lattice": [[4.0172, 0.0000, 0.0000], [0.0000, 4.0172, 0.0000], [0.0000, 0.0000, 3.8390]],
  "species": ["Na", "Al", "O", "O", "F"],
  "fractional_positions": [[0.0000, 0.0000, 0.0000], [0.5000, 0.5000, 0.5000], [0.0000, 0.5000, 0.0000], [0.5000, 0.0000, 0.0000], [0.0000, 0.0000, 0.5000]]
}

***

{
  "formula": "NaAlOF2",
  "functional": "PBE",
  "state": "optimized geometry",
  "e_form_raw_mev_per_atom": -2908,
  "total_magnetization_mub_per_cell": 0.000,
  "energy_ry_per_atom": -0.416,
  "space_group": "P4/mmm",
  "e_above_lowest_polymorph_mev_per_atom": 0.0,
  "lattice": [[3.8598, 0.0000, 0.0000], [0.0000, 3.8598, 0.0000], [0.0000, 0.0000, 3.5601]],
  "species": ["Na", "Al", "O", "F", "F"],
  "fractional_positions": [[0.5000, 0.5000, 0.5000], [0.0000, 0.0000, 0.0000], [0.0000, 0.0000, 0.5000], [0.0000, 0.5000, 0.0000], [0.5000, 0.0000, 0.0000]]
}

***

{
  "formula": "NaAlO2F",
  "functional": "PBE",
  "state": "optimized geometry",
  "e_form_raw_mev_per_atom": -2349,
  "total_magnetization_mub_per_cell": 0.931,
  "energy_ry_per_atom": -0.420,
  "space_group": "P4/mmm",
  "lattice": [[-3.6096, -0.1017, -0.5819], [0.1454, -3.6451, -0.2650], [-0.6218, -0.3091, 3.9111]],
  "species": ["Na", "Al", "O", "O", "F"],
  "fractional_positions": [[0.5000, 0.5000, 0.5000], [0.0000, 0.0000, 0.0000], [0.0000, 0.5000, 0.0000], [0.5000, 0.0000, 0.0000], [0.0000, 0.0000, 0.5000]]
}

***

- Which formula does entry 1 have?
  NaAlO2F

***

- What is the formula in the second record?
  NaAlOF2

***

Copy entry 2 word for word.
{
  "formula": "NaAlOF2",
  "functional": "PBE",
  "state": "optimized geometry",
  "e_form_raw_mev_per_atom": -2908,
  "total_magnetization_mub_per_cell": 0.000,
  "energy_ry_per_atom": -0.416,
  "space_group": "P4/mmm",
  "e_above_lowest_polymorph_mev_per_atom": 0.0,
  "lattice": [[3.8598, 0.0000, 0.0000], [0.0000, 3.8598, 0.0000], [0.0000, 0.0000, 3.5601]],
  "species": ["Na", "Al", "O", "F", "F"],
  "fractional_positions": [[0.5000, 0.5000, 0.5000], [0.0000, 0.0000, 0.0000], [0.0000, 0.0000, 0.5000], [0.0000, 0.5000, 0.0000], [0.5000, 0.0000, 0.0000]]
}